! Li2Dy2SnPd5, relaxed, DFT PBE; values from VASP
&SYSTEM
  ibrav = 0, nat = 20, ntyp = 4
/
ATOMIC_SPECIES
Li 6.94 Li.upf
Dy 162.50 Dy.upf
Sn 118.71 Sn.upf
Pd 106.42 Pd.upf
CELL_PARAMETERS angstrom
9.600 0.000 0.000
0.000 9.600 0.000
0.000 0.000 3.747
ATOMIC_POSITIONS angstrom
Li 1.156 3.644 0.000
Li 3.644 8.444 0.000
Li 5.956 1.156 0.000
Li 8.444 5.956 0.000
Dy 1.691 6.490 0.000
Dy 3.109 1.691 0.000
Dy 6.490 7.909 0.000
Dy 7.909 3.109 0.000
Sn 0.000 0.000 0.000
Sn 4.800 4.800 0.000
Pd 0.000 4.800 1.873
Pd 0.665 2.013 1.873
Pd 2.013 8.935 1.873
Pd 2.787 4.135 1.873
Pd 4.135 6.813 1.873
Pd 4.800 0.000 1.873
Pd 5.465 2.787 1.873
Pd 6.813 5.465 1.873
Pd 7.586 0.665 1.873
Pd 8.935 7.586 1.873
! space-group type	P4/mbm, No. 127
! spin magnetization	0.0	μB per cell
! energy	-5.003	eV per atom
! formation energy	-0.70	eV/atom

***

! YGaIrPd, relaxed, DFT PBE; values from VASP
&SYSTEM
  ibrav = 0, nat = 4, ntyp = 4
/
ATOMIC_SPECIES
Y 88.91 Y.upf
Ga 69.72 Ga.upf
Ir 192.22 Ir.upf
Pd 106.42 Pd.upf
CELL_PARAMETERS angstrom
0.000 3.286 3.286
3.286 0.000 3.286
3.286 3.286 0.000
ATOMIC_POSITIONS angstrom
Y 0.000 0.000 0.000
Ga 3.286 3.286 3.286
Ir 4.929 4.929 4.929
Pd 1.643 1.643 1.643
! space-group type	F-43m, No. 216
! spin magnetization	0.0	μB per cell
! energy	-6.543	eV per atom
! formation energy	-0.66	eV/atom

***

! Tm4ZnNi2, relaxed, DFT PBE; values from VASP
&SYSTEM
  ibrav = 0, nat = 7, ntyp = 3
/
ATOMIC_SPECIES
Tm 168.93 Tm.upf
Zn 65.41 Zn.upf
Ni 58.69 Ni.upf
CELL_PARAMETERS angstrom
4.751 0.000 0.000
0.000 4.751 0.000
0.000 0.000 6.785
ATOMIC_POSITIONS angstrom
Tm 0.000 2.376 1.659
Tm 0.000 2.376 5.125
Tm 2.376 0.000 1.659
Tm 2.376 0.000 5.125
Zn 0.000 0.000 3.392
Ni 0.000 0.000 0.000
Ni 2.376 2.376 3.392
! space-group type	P4/mmm, No. 123
! energy above the lowest structure with this stoichiometry	0	meV/atom
! spin magnetization	0.0	μB per cell
! energy	-4.687	eV per atom
! formation energy	-0.30	eV/atom

***

! LuIr3, relaxed, DFT PBE; values from VASP
&SYSTEM
  ibrav = 0, nat = 4, ntyp = 2
/
ATOMIC_SPECIES
Lu 174.97 Lu.upf
Ir 192.22 Ir.upf
CELL_PARAMETERS angstrom
-2.015 2.015 4.015
2.015 -2.015 4.015
2.015 2.015 -4.015
ATOMIC_POSITIONS angstrom
Lu 0.000 0.000 0.000
Ir 2.015 0.000 2.008
Ir 0.000 0.000 4.015
Ir 0.000 2.015 2.008
! space-group type	I4/mmm, No. 139
! spin magnetization	0.0	μB per cell
! energy	-8.182	eV per atom
! formation energy	-0.41	eV/atom

***

! HfSc2SnB, relaxed, DFT PBE; values from VASP
&SYSTEM
  ibrav = 0, nat = 5, ntyp = 4
/
ATOMIC_SPECIES
Hf 178.49 Hf.upf
Sc 44.96 Sc.upf
Sn 118.71 Sn.upf
B 10.81 B.upf
CELL_PARAMETERS angstrom
4.622 0.000 0.000
0.000 4.622 0.000
0.000 0.000 4.625
ATOMIC_POSITIONS angstrom
Hf 0.000 0.000 0.000
Sc 0.000 2.311 2.313
Sc 2.311 0.000 2.313
Sn 2.311 2.311 0.000
B 0.000 0.000 2.313
! space-group type	P4/mmm, No. 123
! spin magnetization	0.0	μB per cell
! energy	-7.212	eV per atom
! formation energy	-0.55	eV/atom

***

! NbGa2NiPd, relaxed, DFT PBE; values from VASP
&SYSTEM
  ibrav = 0, nat = 5, ntyp = 4
/
ATOMIC_SPECIES
Nb 92.91 Nb.upf
Ga 69.72 Ga.upf
Ni 58.69 Ni.upf
Pd 106.42 Pd.upf
CELL_PARAMETERS angstrom
4.996 0.000 0.000
0.000 4.996 0.000
0.000 0.000 4.466
ATOMIC_POSITIONS angstrom
Nb 0.000 0.000 0.000
Ga 0.000 2.498 0.000
Ga 2.498 0.000 0.000
Ni 0.000 0.000 2.233
Pd 2.498 2.498 2.233
! space-group type	P4/mmm, No. 123
! spin magnetization	0.2	μB per cell
! energy	-4.452	eV per atom
! formation energy	0.97	eV/atom

***

! Tm4NiIr3, relaxed, DFT PBE; values from VASP
&SYSTEM
  ibrav = 0, nat = 8, ntyp = 3
/
ATOMIC_SPECIES
Tm 168.93 Tm.upf
Ni 58.69 Ni.upf
Ir 192.22 Ir.upf
CELL_PARAMETERS angstrom
-2.358 2.358 6.890
2.358 -2.358 6.890
2.358 2.358 -6.890
ATOMIC_POSITIONS angstrom
Tm 2.358 0.000 1.714
Tm 2.358 0.000 5.176
Tm 0.000 2.358 1.714
Tm 0.000 2.358 5.176
Ni 0.000 0.000 0.000
Ir 0.000 0.000 3.427
Ir 0.000 0.000 6.890
Ir 0.000 0.000 10.353
! space-group type	I4/mmm, No. 139
! spin magnetization	0.0	μB per cell
! energy	-7.105	eV per atom
! formation energy	-0.82	eV/atom

***

! GdHoIrRh, relaxed, DFT PBE; values from VASP
&SYSTEM
  ibrav = 0, nat = 4, ntyp = 4
/
ATOMIC_SPECIES
Gd 157.25 Gd.upf
Ho 164.93 Ho.upf
Ir 192.22 Ir.upf
Rh 102.91 Rh.upf
CELL_PARAMETERS angstrom
0.000 3.435 3.435
3.435 0.000 3.435
3.435 3.435 0.000
ATOMIC_POSITIONS angstrom
Gd 0.000 0.000 0.000
Ho 3.435 3.435 3.435
Ir 5.152 5.152 5.152
Rh 1.717 1.717 1.717
! space-group type	F-43m, No. 216
! spin magnetization	7.0	μB per cell
! energy	-9.559	eV per atom
! formation energy	-0.84	eV/atom